Material: CuPt
Method: DFT, GGA-PBE
State: relaxed

Cell and atoms, written as POSCAR:
```
CuPt
1.0
-1.9603 1.3851 1.3162
-0.6721 -1.8312 -1.9206
-0.1674 -3.1135 3.0271
Cu Pt
1 1
direct
0.6667 0.3333 0.5000
0.0000 0.0000 0.0000
```

Results
- Symmetry: P-6m2 (187)
- Electronic total energy: -5.22 eV per atom

Material: K2TaHg
Method: DFT, GGA-PBE
State: relaxed

Cell and atoms, written as POSCAR:
```
K2TaHg
1.0
6.0126 0.0000 0.0000
0.0000 2.9555 0.0418
0.0000 2.7249 6.4455
K Hg Ta
2 1 1
direct
0.0000 0.5039 0.5017
0.0000 0.9961 0.9983
0.5000 0.7500 0.7500
0.5000 0.2500 0.2500
```

Results
- Symmetry: P2/m (10)
- Electronic total energy: -2.60 eV per atom

Material: HfScAg
Method: DFT, GGA-PBE
State: relaxed

Cell and atoms, written as POSCAR:
```
HfScAg
1.0
-3.1218 0.6503 -0.1752
-0.2084 -1.7228 -2.6810
0.4252 -4.5152 4.7704
Sc Ag Hf
1 1 1
direct
0.3308 0.3308 0.6617
0.6661 0.6661 0.3322
0.0030 0.0030 0.0061
```

Results
- Energy above the lowest structure with this stoichiometry: 49 meV/atom
- Symmetry: I4mm (107)
- Electronic total energy: -6.47 eV per atom

Material: UCrCo4
Method: DFT, GGA-PBE
State: relaxed

Cell and atoms, written as POSCAR:
```
UCrCo4
1.0
-0.6674 -4.6450 -0.9536
3.5691 -2.6011 -1.8511
2.1718 -3.3287 2.6709
Co Cr U
4 1 1
direct
0.6262 0.6262 0.1214
0.6262 0.1214 0.6262
0.6262 0.6262 0.6262
0.1214 0.6262 0.6262
0.0000 0.0000 0.0000
0.2500 0.2500 0.2500
```

Results
- Symmetry: F-43m (216)
- Electronic total energy: -8.21 eV per atom

Material: NaAlF3
Method: DFT, GGA-PBE
State: relaxed

Cell and atoms, written as POSCAR:
```
NaAlF3
1.0
-4.4838 3.4157 1.4764
-2.4003 -4.3918 2.8710
3.6214 3.5825 2.7098
Al F Na
2 6 2
direct
0.0000 0.6667 0.3333
0.5000 0.6667 0.3333
0.7500 0.8422 0.6209
0.2500 0.3791 0.1578
0.2500 0.7787 0.6209
0.7500 0.3791 0.2213
0.2500 0.8422 0.2213
0.7500 0.7787 0.1578
0.5000 0.0000 0.0000
0.0000 0.0000 0.0000
```

Results
- Energy above the lowest structure with this stoichiometry: 68 meV/atom
- Symmetry: P-6c2 (188)
- Electronic total energy: -4.61 eV per atom

Material: Nd6Sm8Dy
Method: DFT, GGA-PBE
State: relaxed

Cell and atoms, written as POSCAR:
```
Nd6Sm8Dy
1.0
6.6441 0.0000 0.0000
0.0000 8.2699 -4.7746
0.0000 0.0000 9.5492
Sm Nd Dy
8 6 1
direct
0.1658 0.9703 0.7208
0.1151 0.6667 0.3333
0.1658 0.2792 0.2496
0.8342 0.0297 0.2792
0.8342 0.7208 0.7504
0.8849 0.3333 0.6667
0.1658 0.7504 0.0297
0.8342 0.2496 0.9703
0.6638 0.9150 0.5656
0.3362 0.0850 0.4344
0.6638 0.6505 0.0850
0.6638 0.4344 0.3495
0.3362 0.3495 0.9150
0.3362 0.5656 0.6505
0.5000 0.0000 0.0000
```

Results
- Energy above the lowest structure with this stoichiometry: 52 meV/atom
- Symmetry: P-3 (147)
- Electronic total energy: -4.57 eV per atom

Material: ZnAsOsBr2
Method: DFT, GGA-PBE
State: relaxed

Cell and atoms, written as POSCAR:
```
ZnAsOsBr2
1.0
-0.6565 0.9595 -4.8523
5.0025 -0.8839 -0.8516
-0.9912 -4.8210 -0.8192
As Zn Br Os
1 1 2 1
direct
0.5000 0.5000 0.5000
0.0000 0.5000 0.0000
0.5000 0.0000 0.0000
0.0000 0.0000 0.5000
0.0000 0.0000 0.0000
```

Results
- Energy above the lowest structure with this stoichiometry: 438 meV/atom
- Symmetry: P4/mmm (123)
- Electronic total energy: -3.12 eV per atom

Material: Nd4GeSeBr2
Method: DFT, GGA-PBE
State: relaxed

Cell and atoms, written as POSCAR:
```
Nd4GeSeBr2
1.0
4.3220 0.0000 0.0000
0.0000 7.3728 0.0900
0.0000 -2.6174 7.1753
Br Nd Se Ge
2 4 1 1
direct
0.0000 0.5000 0.5000
0.5000 0.0000 0.5000
0.5000 0.7666 0.7880
0.5000 0.2334 0.2120
0.0000 0.7408 0.2101
0.0000 0.2592 0.7899
0.5000 0.5000 0.0000
0.0000 0.0000 0.0000
```

Results
- Symmetry: P2/m (10)
- Electronic total energy: -5.15 eV per atom